## LiThAlNi (GGA-PBE)

Data for a relaxed LiThAlNi crystal.

Values from the calculation:
Uncorrected energy (eV per formula unit): -20.21
Formation enthalpy at 0 K (meV per atom): -337.1

Cell: 4.675 4.675 4.675 Å, 60.00 60.00 60.00°
Fractional coordinates of all 4 atoms:
1 Li 0.000 0.000 0.000
2 Th 0.750 0.750 0.750
3 Al 0.250 0.250 0.250
4 Ni 0.500 0.500 0.500

=====

## LiTiAlNi (GGA-PBE)

Data for a relaxed LiTiAlNi crystal.

Values from the calculation:
Uncorrected energy (eV per formula unit): -21.16
Formation enthalpy at 0 K (meV per atom): -457.8

Cell: 4.200 4.200 4.200 Å, 60.00 60.00 60.00°
Fractional coordinates of all 4 atoms:
1 Li 0.000 0.000 0.000
2 Ti 0.250 0.250 0.250
3 Al 0.750 0.750 0.750
4 Ni 0.500 0.500 0.500

=====

## LiAlVNi (GGA-PBE)

Data for a relaxed LiAlVNi crystal.

Values from the calculation:
Uncorrected energy (eV per formula unit): -21.23
Formation enthalpy at 0 K (meV per atom): -168.4

Cell: 4.137 4.137 4.137 Å, 60.00 60.00 60.00°
Fractional coordinates of all 4 atoms:
1 Li 0.000 0.000 0.000
2 Al 0.750 0.750 0.750
3 V 0.250 0.250 0.250
4 Ni 0.500 0.500 0.500

=====

## LiAlZn2Ni (GGA-PBE)

Data for a relaxed LiAlZn2Ni crystal.

Values from the calculation:
Uncorrected energy (eV per formula unit): -9.93
Formation enthalpy at 0 K (meV per atom): 811.1

Cell: 4.633 4.633 4.685 Å, 90.00 90.00 90.00°
Fractional coordinates of all 5 atoms:
1 Li 0.000 0.000 0.000
2 Al 0.000 0.000 0.500
3 Zn 0.000 0.500 0.500
4 Zn 0.500 0.000 0.500
5 Ni 0.500 0.500 0.000

=====

## LiNpAl6 (GGA-PBE)

Data for a relaxed LiNpAl6 crystal.

Values from the calculation:
Uncorrected energy (eV per formula unit): -37.82
Formation enthalpy at 0 K (meV per atom): -63.8

Cell: 4.605 6.043 6.043 Å, 60.05 90.00 90.00°
Fractional coordinates of all 8 atoms:
1 Li 0.000 0.000 0.000
2 Np 0.500 0.333 0.333
3 Al 0.000 0.512 0.512
4 Al 0.000 0.512 0.975
5 Al 0.000 0.975 0.512
6 Al 0.500 0.332 0.833
7 Al 0.500 0.833 0.332
8 Al 0.500 0.833 0.833

=====

## LiNpAl (GGA-PBE)

Data for a relaxed LiNpAl crystal.

Values from the calculation:
Uncorrected energy (eV per formula unit): -17.70
Formation enthalpy at 0 K (meV per atom): 299.4

Cell: 12.583 12.583 12.583 Å, 15.88 15.88 15.88°
Fractional coordinates of all 6 atoms:
1 Li 0.092 0.092 0.092
2 Li 0.908 0.908 0.908
3 Np 0.316 0.316 0.316
4 Np 0.684 0.684 0.684
5 Al 0.191 0.191 0.191
6 Al 0.809 0.809 0.809

=====

Question: Which formula does entry 5 have?
Answer: LiNpAl6

=====

Question: Which formula does entry 2 have?
Answer: LiTiAlNi